# TcAgIr | Alexandria | GGA-PBE | optimized geometry
# E_tot in hartree per atom: -0.2565
# Crystal system: orthorhombic
# Formation energy in eV/atom: 0.380
# Calculated volume in Å³ per atom: 15.87
data_TcAgIr
_chemical_formula_sum 'Tc4 Ag4 Ir4'
_space_group_name_H-M_alt 'F m m 2'
_space_group_IT_number 42
_space_group_name_Hall 'F 2 -2'
_cell_length_a 2.800
_cell_length_b 4.673
_cell_length_c 14.551
_cell_angle_alpha 90.00
_cell_angle_beta 90.00
_cell_angle_gamma 90.00
loop_
_atom_site_label
_atom_site_fract_x
_atom_site_fract_y
_atom_site_fract_z
_atom_site_occupancy
Tc1 0.000 0.000 0.000 1
Ag1 0.000 0.000 0.325 1
Ir1 0.000 0.000 0.650 1

# TcAgIr2 | Alexandria | GGA-PBE | optimized geometry
# E_tot in hartree per atom: -0.2616
# Crystal system: cubic
# Formation energy in eV/atom: 0.615
# Calculated volume in Å³ per atom: 15.39
data_TcAgIr2
_chemical_formula_sum 'Tc4 Ag4 Ir8'
_space_group_name_H-M_alt 'F -4 3 m'
_space_group_IT_number 216
_space_group_name_Hall 'F -4 2 3'
_cell_length_a 6.268
_cell_length_b 6.268
_cell_length_c 6.268
_cell_angle_alpha 90.00
_cell_angle_beta 90.00
_cell_angle_gamma 90.00
loop_
_atom_site_label
_atom_site_fract_x
_atom_site_fract_y
_atom_site_fract_z
_atom_site_occupancy
Tc1 0.000 0.000 0.000 1
Ag1 0.250 0.250 0.750 1
Ir1 0.000 0.000 0.500 1
Ir2 0.250 0.250 0.250 1

# TcAgIr | Alexandria | GGA-PBE | optimized geometry
# E_tot in hartree per atom: -0.2600
# Crystal system: orthorhombic
# Formation energy in eV/atom: 0.285
# Calculated volume in Å³ per atom: 15.59
data_TcAgIr
_chemical_formula_sum 'Tc2 Ag2 Ir2'
_space_group_name_H-M_alt 'I m m 2'
_space_group_IT_number 44
_space_group_name_Hall 'I 2 -2'
_cell_length_a 2.784
_cell_length_b 3.834
_cell_length_c 8.762
_cell_angle_alpha 90.00
_cell_angle_beta 90.00
_cell_angle_gamma 90.00
loop_
_atom_site_label
_atom_site_fract_x
_atom_site_fract_y
_atom_site_fract_z
_atom_site_occupancy
Tc1 0.000 0.000 0.000 1
Ag1 0.000 0.000 0.684 1
Ir1 0.000 0.000 0.368 1

# TcAgIr2 | Alexandria | GGA-PBE | optimized geometry
# E_tot in hartree per atom: -0.2640
# Crystal system: orthorhombic
# Formation energy in eV/atom: 0.552
# Calculated volume in Å³ per atom: 15.43
data_TcAgIr2
_chemical_formula_sum 'Tc1 Ag1 Ir2'
_space_group_name_H-M_alt 'P m m m'
_space_group_IT_number 47
_space_group_name_Hall '-P 2 2'
_cell_length_a 2.757
_cell_length_b 4.670
_cell_length_c 4.792
_cell_angle_alpha 90.00
_cell_angle_beta 90.00
_cell_angle_gamma 90.00
loop_
_atom_site_label
_atom_site_fract_x
_atom_site_fract_y
_atom_site_fract_z
_atom_site_occupancy
Tc1 0.000 0.000 0.000 1
Ag1 0.500 0.000 0.500 1
Ir1 0.000 0.500 0.500 1
Ir2 0.500 0.500 0.000 1